1.
A relaxed LiCaPb2O crystal, computed with PBE.

Cell and atoms, written as POSCAR:
```
LiCaPb2O
1.0
-3.298 -0.357 4.900
-4.040 -2.182 -2.878
2.163 -5.405 1.062
Ca Pb Li O
1 2 1 1
Direct
0.000 0.000 0.000
0.000 0.000 0.500
0.500 0.000 0.000
0.000 0.500 0.000
0.500 0.500 0.500
```

Computed properties:
- Formation energy without anion corrections: 1037 meV/atom


2.
A relaxed GaCoSb3 crystal, computed with PBE.

Cell and atoms, written as POSCAR:
```
GaCoSb3
1.0
5.236 0.000 0.000
0.000 5.236 0.000
0.000 0.000 5.236
Ga Co Sb
1 1 3
Direct
0.000 0.000 0.000
0.500 0.500 0.500
0.000 0.500 0.000
0.000 0.000 0.500
0.500 0.000 0.000
```

Computed properties:
- Formation energy without anion corrections: 1159 meV/atom
- Energy above the lowest structure with this stoichiometry: 4.00 eV per formula unit


3.
A relaxed YZrSc3 crystal, computed with PBE.

Cell and atoms, written as POSCAR:
```
YZrSc3
1.0
3.279 0.000 0.000
0.000 7.170 -3.233
0.000 -3.207 12.707
Zr Sc Y
2 6 2
Direct
0.250 0.881 0.375
0.750 0.119 0.625
0.750 0.129 0.294
0.750 0.291 0.908
0.750 0.613 0.436
0.250 0.387 0.564
0.250 0.709 0.092
0.250 0.871 0.706
0.250 0.282 0.132
0.750 0.718 0.868
```

Computed properties:
- Energy above the lowest structure with this stoichiometry: 0.42 eV per formula unit
- ΔE_f: 0.8 eV per formula unit


4.
A relaxed MgSi2Pt crystal, computed with PBE.

Cell and atoms, written as POSCAR:
```
MgSi2Pt
1.0
-1.618 0.902 -5.094
-3.029 -3.127 3.229
-2.668 1.305 0.179
Si Mg Pt
2 1 1
Direct
0.000 0.000 0.000
0.500 0.500 0.000
0.500 0.000 0.500
0.000 0.500 0.500
```

Computed properties:
- Formation energy without anion corrections: -83 meV/atom


5.
A relaxed Li6LaAu2 crystal, computed with PBE.

Cell and atoms, written as POSCAR:
```
Li6LaAu2
1.0
-0.953 3.256 -2.257
-3.520 0.369 2.019
4.996 6.655 7.490
Li La Au
6 1 2
Direct
0.500 0.000 0.712
0.000 0.500 0.288
0.000 0.000 0.500
0.500 0.500 0.500
0.000 0.500 0.712
0.500 0.000 0.288
0.000 0.000 0.000
0.500 0.500 0.131
0.500 0.500 0.869
```

Computed properties:
- Energy above the lowest structure with this stoichiometry: 0.00 eV per formula unit
- ΔE_f: -3.2 eV per formula unit


6.
A relaxed CaSn2Pd crystal, computed with PBE.

Cell and atoms, written as POSCAR:
```
CaSn2Pd
1.0
-2.838 1.821 -0.542
-1.711 -2.026 2.153
1.888 4.708 5.930
Ca Sn Pd
1 2 1
Direct
0.500 0.500 0.500
0.000 0.000 0.208
0.000 0.000 0.792
0.500 0.500 0.000
```

Computed properties:
- ΔE_f: -2.0 eV per formula unit


7.
A relaxed Sm2Ge6PdRh crystal, computed with PBE.

Cell and atoms, written as POSCAR:
```
Sm2Ge6PdRh
1.0
-3.467 4.285 -2.648
-0.881 -0.088 -6.050
-12.208 -6.269 -1.221
Ge Sm Pd Rh
12 4 2 2
Direct
0.070 0.657 0.615
0.198 0.198 0.842
0.343 0.930 0.385
0.198 0.761 0.842
0.761 0.198 0.842
0.239 0.802 0.158
0.657 0.070 0.615
0.657 0.657 0.615
0.802 0.802 0.158
0.343 0.343 0.385
0.930 0.343 0.385
0.802 0.239 0.158
0.723 0.723 0.831
0.127 0.127 0.620
0.873 0.873 0.380
0.277 0.277 0.169
0.500 0.500 0.500
0.000 0.000 0.000
0.427 0.427 0.719
0.573 0.573 0.281
```

Computed properties:
- ΔE_f: -4.0 eV per formula unit


8.
A relaxed YCr2Pt crystal, computed with PBE.

Cell and atoms, written as POSCAR:
```
YCr2Pt
1.0
-2.810 -1.852 0.441
0.890 -1.972 -2.615
3.143 -3.826 3.956
Y Pt Cr
1 1 2
Direct
0.500 0.500 0.733
0.000 0.000 0.483
0.000 0.000 0.064
0.500 0.500 0.220
```

Computed properties:
- Energy above the lowest structure with this stoichiometry: 0.00 eV per formula unit
- ΔE_f: -0.4 eV per formula unit


9.
A relaxed LaFeCl2 crystal, computed with PBE.

Cell and atoms, written as POSCAR:
```
LaFeCl2
1.0
6.200 0.770 -0.116
2.709 5.629 0.116
-3.931 -3.928 2.856
La Fe Cl
1 1 2
Direct
0.750 0.250 0.500
0.250 0.750 0.500
0.404 0.404 0.000
0.096 0.096 0.000
```

Computed properties:
- Formation energy without anion corrections: -818 meV/atom
- Energy above the lowest structure with this stoichiometry: 0.43 eV per formula unit


10.
A relaxed Pr2YPb9 crystal, computed with PBE.

Cell and atoms, written as POSCAR:
```
Pr2YPb9
1.0
-0.199 -4.520 1.960
3.873 1.069 2.858
-9.115 4.952 10.497
Pb Pr Y
9 2 1
Direct
0.500 0.500 0.669
0.000 0.500 0.500
0.500 0.500 0.331
0.500 0.500 0.000
0.500 0.000 0.163
0.500 0.000 0.500
0.500 0.000 0.837
0.000 0.500 0.163
0.000 0.500 0.837
0.000 0.000 0.332
0.000 0.000 0.668
0.000 0.000 0.000
```

Computed properties:
- ΔE_f: -4.3 eV per formula unit


11.
A relaxed Ho3ErSe4 crystal, computed with PBE.

Cell and atoms, written as POSCAR:
```
Ho3ErSe4
1.0
7.046 0.080 0.000
-2.394 6.627 0.000
0.000 0.000 8.011
Se Ho Er
8 6 2
Direct
0.500 0.751 0.124
0.000 0.249 0.124
0.501 0.751 0.626
0.499 0.249 0.374
0.000 0.751 0.876
0.500 0.249 0.876
0.001 0.751 0.374
0.999 0.249 0.626
0.750 0.500 0.125
0.250 0.500 0.375
0.250 0.500 0.875
0.750 0.000 0.375
0.250 0.000 0.625
0.750 0.500 0.625
0.750 0.000 0.875
0.250 0.000 0.125
```

Computed properties:
- Formation energy without anion corrections: -1716 meV/atom
- Energy above the lowest structure with this stoichiometry: 0.00 eV per formula unit


12.
A relaxed Mn4CoSb crystal, computed with PBE.

Cell and atoms, written as POSCAR:
```
Mn4CoSb
1.0
3.476 2.656 1.961
-0.744 2.204 4.192
2.250 -1.532 3.946
Sb Mn Co
1 4 1
Direct
0.750 0.750 0.750
0.375 0.375 0.375
0.375 0.375 0.876
0.876 0.375 0.375
0.375 0.876 0.375
0.000 0.000 0.000
```

Computed properties:
- Formation energy without anion corrections: 345 meV/atom


Which total magnetic moment belongs to each record? In order, 0.699, 1.756, 0.000, 0.000, 0.000, 0.000, 0.000, 0.626, 1.620, 0.000, 0.000, 7.348 μB/f.u..
Which Fermi-level density of states belongs to each record? In order, 4.04, 13.65, 13.06, 1.78, 3.40, 1.52, 10.29, 3.13, 3.44, 5.72, 6.92, 11.31 states/eV per cell.